a.
The following is a DFT calculation (GGA-PBE) of crystalline FeRu2W at its relaxed geometry.

The space group is P2/m (No. 10) and the conventional cell measures 2.709, 4.063 and 5.272 Å, with angles of 90.00, 102.26 and 90.00 degrees. The asymmetric unit holds Fe at (0.000, 0.000, 0.000), Ru at (0.392, 0.500, 0.237) and W at (0.000, 0.000, 0.500).

The volume is 14.18 Å³/atom. The value obtained for the mass density is 12.9 g cm⁻³.



b.
The following is a DFT calculation (GGA-PBE) of crystalline FeRu2W at its relaxed geometry.

The space group is P4/mmm (No. 123) and the conventional cell measures 3.839, 3.839 and 3.747 Å, with angles of 90.00, 90.00 and 90.00 degrees. The asymmetric unit holds Fe at (0.000, 0.000, 0.000), Ru at (0.000, 0.500, 0.500) and W at (0.500, 0.500, 0.000).

The volume is 13.80 Å³/atom. The value obtained for the mass density is 13.3 g cm⁻³.



c.
The following is a DFT calculation (GGA-PBE) of crystalline FeRu2W at its relaxed geometry.

The space group is I4/mmm (No. 139) and the conventional cell measures 3.873, 3.873 and 7.422 Å, with angles of 90.00, 90.00 and 90.00 degrees. The asymmetric unit holds Fe at (0.000, 0.000, 0.000), Ru at (0.000, 0.500, 0.250) and W at (0.000, 0.000, 0.500).

The volume is 13.92 Å³/atom. The value obtained for the mass density is 13.2 g cm⁻³.



d.
The following is a DFT calculation (GGA-PBE) of crystalline FeRu2W at its relaxed geometry.

The space group is P4/mmm (No. 123) and the conventional cell measures 3.142, 3.142 and 5.776 Å, with angles of 90.00, 90.00 and 90.00 degrees. The asymmetric unit holds Fe at (0.000, 0.000, 0.000), Ru at (0.500, 0.500, 0.241) and W at (0.000, 0.000, 0.500).

The volume is 14.26 Å³/atom. The value obtained for the mass density is 12.9 g cm⁻³.



Preferred: b; penalty for the next structure: 0.051 eV/atom.



a.
The following is a DFT calculation (GGA-PBE) of crystalline FeRu2W at its relaxed geometry.

The space group is P4mm (No. 99) and the conventional cell measures 3.115, 3.115 and 5.831 Å, with angles of 90.00, 90.00 and 90.00 degrees. The asymmetric unit holds Fe at (0.000, 0.000, 0.000), Ru at (0.000, 0.000, 0.498), Ru at (0.500, 0.500, 0.192) and W at (0.500, 0.500, 0.750).

The volume is 14.14 Å³/atom. The value obtained for the mass density is 13.0 g cm⁻³.



b.
The following is a DFT calculation (GGA-PBE) of crystalline FeRu2W at its relaxed geometry.

The space group is Fm-3m (No. 225) and the conventional cell measures 6.116, 6.116 and 6.116 Å, with angles of 90.00, 90.00 and 90.00 degrees. The asymmetric unit holds Fe at (0.000, 0.000, 0.000), Ru at (0.250, 0.250, 0.250) and W at (0.000, 0.000, 0.500).

The volume is 14.30 Å³/atom. The value obtained for the mass density is 12.8 g cm⁻³.



c.
The following is a DFT calculation (GGA-PBE) of crystalline FeRu2W at its relaxed geometry.

The space group is R3m (No. 160, hexagonal axes) and the conventional cell measures 2.7413, 2.7413 and 25.8849 Å, with angles of 90.00, 90.00 and 120.00 degrees. The asymmetric unit holds Fe at (0.0000, 0.0000, 0.0000), Ru at (0.0000, 0.0000, 0.2554), Ru at (0.0000, 0.0000, 0.4139) and W at (0.0000, 0.0000, 0.8341).

The volume is 14.04 Å³/atom. The value obtained for the mass density is 13.1 g cm⁻³.



d.
The following is a DFT calculation (GGA-PBE) of crystalline FeRu2W at its relaxed geometry.

The space group is F-43m (No. 216) and the conventional cell measures 6.106, 6.106 and 6.106 Å, with angles of 90.00, 90.00 and 90.00 degrees. The asymmetric unit holds Fe at (0.000, 0.000, 0.000), Ru at (0.000, 0.000, 0.500), Ru at (0.250, 0.250, 0.250) and W at (0.250, 0.250, 0.750).

The volume is 14.22 Å³/atom. The value obtained for the mass density is 12.9 g cm⁻³.



Preferred: b; penalty for the next structure: 0.082 eV/atom.



a.
The following is a DFT calculation (GGA-PBE) of crystalline FeRu2W at its relaxed geometry.

The space group is I-4m2 (No. 119) and the conventional cell measures 3.785, 3.785 and 7.702 Å, with angles of 90.00, 90.00 and 90.00 degrees. The asymmetric unit holds Fe at (0.000, 0.000, 0.000), Ru at (0.000, 0.000, 0.500), Ru at (0.000, 0.500, 0.750) and W at (0.000, 0.500, 0.250).

The volume is 13.79 Å³/atom. The value obtained for the mass density is 13.3 g cm⁻³.



b.
The following is a DFT calculation (GGA-PBE) of crystalline FeRu2W at its relaxed geometry.

The space group is Cmmm (No. 65) and the conventional cell measures 5.465, 7.403 and 2.779 Å, with angles of 90.00, 90.00 and 90.00 degrees. The asymmetric unit holds Fe at (0.000, 0.000, 0.000), Ru at (0.250, 0.250, 0.500) and W at (0.000, 0.500, 0.000).

The volume is 14.06 Å³/atom. The value obtained for the mass density is 13.0 g cm⁻³.



c.
The following is a DFT calculation (GGA-PBE) of crystalline FeRu2W at its relaxed geometry.

The space group is P4mm (No. 99) and the conventional cell measures 2.705, 2.705 and 7.471 Å, with angles of 90.00, 90.00 and 90.00 degrees. The asymmetric unit holds Fe at (0.000, 0.000, 0.000), Ru at (0.000, 0.000, 0.483), Ru at (0.500, 0.500, 0.229) and W at (0.500, 0.500, 0.756).

The volume is 13.66 Å³/atom. The value obtained for the mass density is 13.4 g cm⁻³.



Preferred: a; penalty for the next structure: 0.068 eV/atom.



a.
The following is a DFT calculation (GGA-PBE) of crystalline FeRu2W at its relaxed geometry.

The space group is Amm2 (No. 38) and the conventional cell measures 4.123, 2.727 and 9.857 Å, with angles of 90.00, 90.00 and 90.00 degrees. The asymmetric unit holds Fe at (0.000, 0.000, 0.000), Ru at (0.000, 0.000, 0.257), Ru at (0.500, 0.000, 0.603) and W at (0.500, 0.000, 0.870).

The volume is 13.85 Å³/atom. The value obtained for the mass density is 13.2 g cm⁻³.



b.
The following is a DFT calculation (GGA-PBE) of crystalline FeRu2W at its relaxed geometry.

The space group is Imm2 (No. 44) and the conventional cell measures 3.076, 4.243 and 8.697 Å, with angles of 90.00, 90.00 and 90.00 degrees. The asymmetric unit holds Fe at (0.000, 0.000, 0.000), Ru at (0.000, 0.000, 0.510), Ru at (0.000, 0.500, 0.738) and W at (0.000, 0.500, 0.265).

The volume is 14.19 Å³/atom. The value obtained for the mass density is 12.9 g cm⁻³.



c.
The following is a DFT calculation (GGA-PBE) of crystalline FeRu2W at its relaxed geometry.

The space group is C2/m (No. 12) and the conventional cell measures 8.793, 2.720 and 4.724 Å, with angles of 90.00, 99.62 and 90.00 degrees. The asymmetric unit holds Fe at (0.000, 0.000, 0.000), Ru at (0.246, 0.500, 0.231) and W at (0.000, 0.500, 0.500).

The volume is 13.92 Å³/atom. The value obtained for the mass density is 13.2 g cm⁻³.



d.
The following is a DFT calculation (GGA-PBE) of crystalline FeRu2W at its relaxed geometry.

The space group is R3m (No. 160, hexagonal axes) and the conventional cell measures 2.7152, 2.7152 and 26.3575 Å, with angles of 90.00, 90.00 and 120.00 degrees. The asymmetric unit holds Fe at (0.0000, 0.0000, 0.0000), Ru at (0.0000, 0.0000, 0.4961), Ru at (0.0000, 0.0000, 0.7434) and W at (0.0000, 0.0000, 0.2481).

The volume is 14.02 Å³/atom. The value obtained for the mass density is 13.1 g cm⁻³.



Preferred: c; penalty for the next structure: 0.050 eV/atom.



a.
The following is a DFT calculation (GGA-PBE) of crystalline FeRuW at its relaxed geometry.

The space group is F-43m (No. 216) and the conventional cell measures 5.799, 5.799 and 5.799 Å, with angles of 90.00, 90.00 and 90.00 degrees. The asymmetric unit holds Fe at (0.000, 0.000, 0.000), Ru at (0.000, 0.000, 0.500) and W at (0.250, 0.250, 0.750).

The volume is 16.25 Å³/atom. The value obtained for the mass density is 11.6 g cm⁻³.



b.
The following is a DFT calculation (GGA-PBE) of crystalline FeRuW at its relaxed geometry.

The space group is P3m1 (No. 156) and the conventional cell measures 4.2709, 4.2709 and 2.6948 Å, with angles of 90.00, 90.00 and 120.00 degrees. The asymmetric unit holds Fe at (0.0000, 0.0000, 0.0000), Ru at (0.6667, 0.3333, 0.3529) and W at (0.3333, 0.6667, 0.6984).

The volume is 14.19 Å³/atom. The value obtained for the mass density is 13.3 g cm⁻³.



Preferred: b; penalty for the next structure: 0.484 eV/atom.



a.
The following is a DFT calculation (GGA-PBE) of crystalline FeRuW at its relaxed geometry.

The space group is I4mm (No. 107) and the conventional cell measures 2.692, 2.692 and 11.298 Å, with angles of 90.00, 90.00 and 90.00 degrees. The asymmetric unit holds Fe at (0.000, 0.000, 0.000), Ru at (0.000, 0.000, 0.649) and W at (0.000, 0.000, 0.332).

The volume is 13.65 Å³/atom. The value obtained for the mass density is 13.8 g cm⁻³.



b.
The following is a DFT calculation (GGA-PBE) of crystalline FeRuW at its relaxed geometry.

The space group is I4mm (No. 107) and the conventional cell measures 3.073, 3.073 and 8.922 Å, with angles of 90.00, 90.00 and 90.00 degrees. The asymmetric unit holds Fe at (0.000, 0.000, 0.000), Ru at (0.000, 0.000, 0.332) and W at (0.000, 0.000, 0.658).

The volume is 14.04 Å³/atom. The value obtained for the mass density is 13.4 g cm⁻³.



Preferred: b; penalty for the next structure: 0.042 eV/atom.